Entry 1:
Ce2PuOs: relaxed, PBE.

CIF file:
```
data_Ce2PuOs
_cell_length_a 5.017
_cell_length_b 5.017
_cell_length_c 5.017
_cell_angle_alpha 60.00
_cell_angle_beta 60.00
_cell_angle_gamma 60.00
_space_group_name_H-M_alt 'P 1'
_space_group_IT_number 1
loop_
_space_group_symop_operation_xyz
'x,y,z'
loop_
_atom_site_label
_atom_site_type_symbol
_atom_site_fract_x
_atom_site_fract_y
_atom_site_fract_z
Ce1 Ce 0.250 0.250 0.250
Ce2 Ce 0.750 0.750 0.750
Pu1 Pu 0.000 0.000 0.000
Os1 Os 0.500 0.500 0.500
```

Output
For the formation energy, the calculation gives 0.0306 eV/atom. The uncorrected energy comes out at -9.327 eV per atom. For the energy above the lowest structure with this stoichiometry, the calculation gives 67.5 meV per atom. For the calculated density, the calculation gives 13.29 Mg/m³.


Entry 2:
Ce2PuOs2: relaxed, PBE.

CIF file:
```
data_Ce2PuOs2
_cell_length_a 5.785
_cell_length_b 5.785
_cell_length_c 7.900
_cell_angle_alpha 98.97
_cell_angle_beta 98.97
_cell_angle_gamma 58.72
_space_group_name_H-M_alt 'P 1'
_space_group_IT_number 1
loop_
_space_group_symop_operation_xyz
'x,y,z'
loop_
_atom_site_label
_atom_site_type_symbol
_atom_site_fract_x
_atom_site_fract_y
_atom_site_fract_z
Ce1 Ce 0.008 0.289 0.155
Ce2 Ce 0.289 0.008 0.655
Ce3 Ce 0.711 0.992 0.345
Ce4 Ce 0.992 0.711 0.845
Pu1 Pu 0.318 0.682 0.250
Pu2 Pu 0.682 0.318 0.750
Os1 Os 0.239 0.496 0.503
Os2 Os 0.496 0.239 0.003
Os3 Os 0.504 0.761 0.997
Os4 Os 0.761 0.504 0.497
```

Output
For the formation energy, the calculation gives -0.1515 eV/atom. The uncorrected energy comes out at -9.883 eV per atom. For the calculated density, the calculation gives 13.52 Mg/m³.


Entry 3:
CePuOs: relaxed, PBE.

CIF file:
```
data_CePuOs
_cell_length_a 7.239
_cell_length_b 4.804
_cell_length_c 8.005
_cell_angle_alpha 90.00
_cell_angle_beta 90.00
_cell_angle_gamma 90.00
_space_group_name_H-M_alt 'P 1'
_space_group_IT_number 1
loop_
_space_group_symop_operation_xyz
'x,y,z'
loop_
_atom_site_label
_atom_site_type_symbol
_atom_site_fract_x
_atom_site_fract_y
_atom_site_fract_z
Ce1 Ce 0.008 0.250 0.188
Ce2 Ce 0.492 0.750 0.688
Ce3 Ce 0.508 0.250 0.312
Ce4 Ce 0.992 0.750 0.812
Pu1 Pu 0.154 0.750 0.398
Pu2 Pu 0.346 0.250 0.898
Pu3 Pu 0.654 0.750 0.102
Pu4 Pu 0.846 0.250 0.602
Os1 Os 0.233 0.250 0.563
Os2 Os 0.267 0.750 0.063
Os3 Os 0.733 0.250 0.937
Os4 Os 0.767 0.750 0.437
```

Output
For the formation energy, the calculation gives -0.1376 eV/atom. The uncorrected energy comes out at -10.636 eV per atom. For the energy above the lowest structure with this stoichiometry, the calculation gives 0.0 meV per atom. For the calculated density, the calculation gives 13.70 Mg/m³.


Entry 4:
Ce4PuOs2: relaxed, PBE.

CIF file:
```
data_Ce4PuOs2
_cell_length_a 7.405
_cell_length_b 7.405
_cell_length_c 7.195
_cell_angle_alpha 110.01
_cell_angle_beta 110.01
_cell_angle_gamma 77.31
_space_group_name_H-M_alt 'P 1'
_space_group_IT_number 1
loop_
_space_group_symop_operation_xyz
'x,y,z'
loop_
_atom_site_label
_atom_site_type_symbol
_atom_site_fract_x
_atom_site_fract_y
_atom_site_fract_z
Ce1 Ce 0.000 0.000 0.000
Ce2 Ce 0.015 0.015 0.505
Ce3 Ce 0.489 0.993 0.314
Ce4 Ce 0.506 0.506 0.456
Ce5 Ce 0.522 0.522 0.957
Ce6 Ce 0.540 0.973 0.825
Ce7 Ce 0.973 0.540 0.825
Ce8 Ce 0.993 0.489 0.314
Pu1 Pu 0.211 0.211 0.930
Pu2 Pu 0.297 0.297 0.536
Os1 Os 0.236 0.741 0.726
Os2 Os 0.741 0.236 0.726
Os3 Os 0.765 0.765 0.543
Os4 Os 0.794 0.794 0.141
```

Output
For the formation energy, the calculation gives -0.0543 eV/atom. The uncorrected energy comes out at -8.701 eV per atom. For the calculated density, the calculation gives 11.37 Mg/m³.


Entry 5:
Ce3Pu3Os2: relaxed, PBE.

CIF file:
```
data_Ce3Pu3Os2
_cell_length_a 6.097
_cell_length_b 5.824
_cell_length_c 20.551
_cell_angle_alpha 90.00
_cell_angle_beta 92.95
_cell_angle_gamma 90.00
_space_group_name_H-M_alt 'P 1'
_space_group_IT_number 1
loop_
_space_group_symop_operation_xyz
'x,y,z'
loop_
_atom_site_label
_atom_site_type_symbol
_atom_site_fract_x
_atom_site_fract_y
_atom_site_fract_z
Ce1 Ce 0.095 0.154 0.063
Ce2 Ce 0.095 0.346 0.563
Ce3 Ce 0.099 0.133 0.368
Ce4 Ce 0.099 0.367 0.868
Ce5 Ce 0.237 0.631 0.272
Ce6 Ce 0.237 0.869 0.772
Ce7 Ce 0.763 0.131 0.228
Ce8 Ce 0.763 0.369 0.728
Ce9 Ce 0.901 0.633 0.132
Ce10 Ce 0.901 0.867 0.632
Ce11 Ce 0.905 0.654 0.437
Ce12 Ce 0.905 0.846 0.937
Pu1 Pu 0.202 0.125 0.238
Pu2 Pu 0.202 0.375 0.738
Pu3 Pu 0.345 0.631 0.436
Pu4 Pu 0.345 0.869 0.936
Pu5 Pu 0.373 0.643 0.037
Pu6 Pu 0.373 0.857 0.537
Pu7 Pu 0.627 0.143 0.463
Pu8 Pu 0.627 0.357 0.963
Pu9 Pu 0.655 0.131 0.064
Pu10 Pu 0.655 0.369 0.564
Pu11 Pu 0.798 0.625 0.262
Pu12 Pu 0.798 0.875 0.762
Os1 Os 0.432 0.116 0.654
Os2 Os 0.432 0.384 0.154
Os3 Os 0.435 0.639 0.652
Os4 Os 0.435 0.861 0.152
Os5 Os 0.565 0.139 0.848
Os6 Os 0.565 0.361 0.348
Os7 Os 0.568 0.616 0.846
Os8 Os 0.568 0.884 0.346
```

Output
For the formation energy, the calculation gives -0.0352 eV/atom. The uncorrected energy comes out at -10.442 eV per atom. For the calculated density, the calculation gives 13.97 Mg/m³.


Entry 6:
Ce8Pu2Os: relaxed, PBE.

CIF file:
```
data_Ce8Pu2Os
_cell_length_a 6.906
_cell_length_b 6.906
_cell_length_c 6.699
_cell_angle_alpha 108.88
_cell_angle_beta 108.88
_cell_angle_gamma 87.07
_space_group_name_H-M_alt 'P 1'
_space_group_IT_number 1
loop_
_space_group_symop_operation_xyz
'x,y,z'
loop_
_atom_site_label
_atom_site_type_symbol
_atom_site_fract_x
_atom_site_fract_y
_atom_site_fract_z
Ce1 Ce 0.033 0.033 0.268
Ce2 Ce 0.160 0.539 0.291
Ce3 Ce 0.364 0.349 0.743
Ce4 Ce 0.461 0.840 0.709
Ce5 Ce 0.511 0.122 0.256
Ce6 Ce 0.651 0.636 0.257
Ce7 Ce 0.878 0.489 0.744
Ce8 Ce 0.967 0.967 0.732
Pu1 Pu 0.197 0.685 0.807
Pu2 Pu 0.315 0.803 0.193
Os1 Os 0.749 0.251 0.000
```

Output
For the formation energy, the calculation gives -0.0304 eV/atom. The uncorrected energy comes out at -7.973 eV per atom. For the energy above the lowest structure with this stoichiometry, the calculation gives 0.0 meV per atom. For the calculated density, the calculation gives 10.46 Mg/m³.


Entry 7:
Ce2PuOs: relaxed, PBE.

CIF file:
```
data_Ce2PuOs
_cell_length_a 3.381
_cell_length_b 3.381
_cell_length_c 8.103
_cell_angle_alpha 90.00
_cell_angle_beta 90.00
_cell_angle_gamma 90.00
_space_group_name_H-M_alt 'P 1'
_space_group_IT_number 1
loop_
_space_group_symop_operation_xyz
'x,y,z'
loop_
_atom_site_label
_atom_site_type_symbol
_atom_site_fract_x
_atom_site_fract_y
_atom_site_fract_z
Ce1 Ce 0.000 0.000 0.220
Ce2 Ce 0.000 0.000 0.780
Pu1 Pu 0.500 0.500 0.500
Os1 Os 0.500 0.500 0.000
```

Output
For the formation energy, the calculation gives 0.0113 eV/atom. The uncorrected energy comes out at -9.346 eV per atom. For the energy above the lowest structure with this stoichiometry, the calculation gives 48.2 meV per atom. For the calculated density, the calculation gives 12.81 Mg/m³.


Entry 8:
CePu5Os3: relaxed, PBE.

CIF file:
```
data_CePu5Os3
_cell_length_a 7.123
_cell_length_b 7.123
_cell_length_c 9.575
_cell_angle_alpha 97.00
_cell_angle_beta 97.00
_cell_angle_gamma 69.04
_space_group_name_H-M_alt 'P 1'
_space_group_IT_number 1
loop_
_space_group_symop_operation_xyz
'x,y,z'
loop_
_atom_site_label
_atom_site_type_symbol
_atom_site_fract_x
_atom_site_fract_y
_atom_site_fract_z
Ce1 Ce 0.153 0.153 0.313
Ce2 Ce 0.847 0.847 0.687
Pu1 Pu 0.054 0.685 0.284
Pu2 Pu 0.234 0.234 0.044
Pu3 Pu 0.315 0.946 0.716
Pu4 Pu 0.320 0.680 0.000
Pu5 Pu 0.369 0.369 0.539
Pu6 Pu 0.631 0.631 0.461
Pu7 Pu 0.680 0.320 0.000
Pu8 Pu 0.685 0.054 0.284
Pu9 Pu 0.766 0.766 0.956
Pu10 Pu 0.946 0.315 0.716
Os1 Os 0.000 0.000 0.000
Os2 Os 0.000 0.000 0.500
Os3 Os 0.335 0.335 0.807
Os4 Os 0.428 0.428 0.253
Os5 Os 0.572 0.572 0.747
Os6 Os 0.665 0.665 0.193
```

Output
For the formation energy, the calculation gives 0.1969 eV/atom. The uncorrected energy comes out at -12.168 eV per atom. For the calculated density, the calculation gives 14.29 Mg/m³.


Entry 9:
CePuOs: relaxed, PBE.

CIF file:
```
data_CePuOs
_cell_length_a 4.699
_cell_length_b 4.699
_cell_length_c 3.207
_cell_angle_alpha 90.00
_cell_angle_beta 90.00
_cell_angle_gamma 120.00
_space_group_name_H-M_alt 'P 1'
_space_group_IT_number 1
loop_
_space_group_symop_operation_xyz
'x,y,z'
loop_
_atom_site_label
_atom_site_type_symbol
_atom_site_fract_x
_atom_site_fract_y
_atom_site_fract_z
Ce1 Ce 0.000 0.000 0.000
Pu1 Pu 0.667 0.333 0.279
Os1 Os 0.333 0.667 0.625
```

Output
For the formation energy, the calculation gives -0.0866 eV/atom. The uncorrected energy comes out at -10.585 eV per atom. For the energy above the lowest structure with this stoichiometry, the calculation gives 51.0 meV per atom. For the calculated density, the calculation gives 15.55 Mg/m³.


Entry 10:
Ce12PuOs7: relaxed, PBE.

CIF file:
```
data_Ce12PuOs7
_cell_length_a 8.325
_cell_length_b 8.325
_cell_length_c 8.325
_cell_angle_alpha 108.79
_cell_angle_beta 108.79
_cell_angle_gamma 108.79
_space_group_name_H-M_alt 'P 1'
_space_group_IT_number 1
loop_
_space_group_symop_operation_xyz
'x,y,z'
loop_
_atom_site_label
_atom_site_type_symbol
_atom_site_fract_x
_atom_site_fract_y
_atom_site_fract_z
Ce1 Ce 0.105 0.416 0.204
Ce2 Ce 0.147 0.359 0.847
Ce3 Ce 0.153 0.853 0.641
Ce4 Ce 0.204 0.105 0.416
Ce5 Ce 0.359 0.847 0.147
Ce6 Ce 0.416 0.204 0.105
Ce7 Ce 0.584 0.796 0.895
Ce8 Ce 0.641 0.153 0.853
Ce9 Ce 0.796 0.895 0.584
Ce10 Ce 0.847 0.147 0.359
Ce11 Ce 0.853 0.641 0.153
Ce12 Ce 0.895 0.584 0.796
Pu1 Pu 0.500 0.500 0.500
Os1 Os 0.000 0.000 0.000
Os2 Os 0.180 0.490 0.589
Os3 Os 0.411 0.820 0.510
Os4 Os 0.490 0.589 0.180
Os5 Os 0.510 0.411 0.820
Os6 Os 0.589 0.180 0.490
Os7 Os 0.820 0.510 0.411
```

Output
For the formation energy, the calculation gives -0.0632 eV/atom. The uncorrected energy comes out at -8.271 eV per atom. For the energy above the lowest structure with this stoichiometry, the calculation gives 0.0 meV per atom. For the calculated density, the calculation gives 11.89 Mg/m³.